# 1
First-principles (PBE) data for TcRuI2N after structural relaxation, as listed in Alexandria via LeMat-Bulk.

## Properties
Its space-group type is P4/mmm, No. 123. The calculation puts the uncorrected formation energy at 1008 meV/atom. As for the density of states at the Fermi level: 6.28 states/eV/cell. For the energy relative to the lowest polymorph listed for this composition, the calculation gives 0.017 eV/atom. Its total energy is -26.029 eV per formula unit.

abc: 5.5362 5.5362 3.7210
angles: 90.00 90.00 90.00
Closest atoms and distances in Å follow each position.
Positions (direct):
I 0.0000 0.5000 0.0000  2 Tc 2.77
I 0.5000 0.0000 0.0000  2 Tc 2.77
Ru 0.5000 0.5000 0.5000  8 I 3.34, 2 Ru 3.72
Tc 0.0000 0.0000 0.0000  2 N 1.86
N 0.0000 0.0000 0.5000  2 Tc 1.86

***

# 2
First-principles (PBE) data for TcRuIN2 after structural relaxation, as listed in Alexandria via LeMat-Bulk.

## Properties
Its space-group type is P4/mmm, No. 123. The calculation puts the uncorrected formation energy at 1201 meV/atom. As for the density of states at the Fermi level: 6.62 states/eV/cell. For the energy relative to the lowest polymorph listed for this composition, the calculation gives 0.000 eV/atom. Its total energy is -31.837 eV per formula unit.

abc: 3.8350 3.8350 5.9165
angles: 90.00 90.00 90.00
Closest atoms and distances in Å follow each position.
Positions (direct):
I 0.0000 0.0000 0.5000  4 Ru 2.71, 2 Tc 2.96
Ru 0.5000 0.5000 0.5000  4 I 2.71
Tc 0.0000 0.0000 0.0000  4 N 1.92
N 0.0000 0.5000 0.0000  2 Tc 1.92
N 0.5000 0.0000 0.0000  2 Tc 1.92

***

# 3
First-principles (PBE) data for TcRuI2N after structural relaxation, as listed in Alexandria via LeMat-Bulk.

## Properties
Its space-group type is P4/mmm, No. 123. The calculation puts the uncorrected formation energy at 991 meV/atom. As for the density of states at the Fermi level: 2.96 states/eV/cell. For the energy relative to the lowest polymorph listed for this composition, the calculation gives 0.000 eV/atom. Its total energy is -26.112 eV per formula unit.

abc: 5.5995 5.5995 3.7013
angles: 90.00 90.00 90.00
Closest atoms and distances in Å follow each position.
Positions (direct):
I 0.0000 0.5000 0.0000  2 Ru 2.80
I 0.5000 0.0000 0.0000  2 Ru 2.80
Ru 0.0000 0.0000 0.0000  2 N 1.85
Tc 0.5000 0.5000 0.5000  8 I 3.36, 2 Tc 3.70
N 0.0000 0.0000 0.5000  2 Ru 1.85

***

# 4
First-principles (PBE) data for TcRuIN2 after structural relaxation, as listed in Alexandria via LeMat-Bulk.

## Properties
Its space-group type is P4/mmm, No. 123. The calculation puts the uncorrected formation energy at 1466 meV/atom. As for the density of states at the Fermi level: 4.92 states/eV/cell. For the energy relative to the lowest polymorph listed for this composition, the calculation gives 0.265 eV/atom. Its total energy is -30.512 eV per formula unit.

abc: 3.8563 3.8563 5.9664
angles: 90.00 90.00 90.00
Closest atoms and distances in Å follow each position.
Positions (direct):
I 0.0000 0.0000 0.5000  4 Tc 2.73, 2 Ru 2.98
Ru 0.0000 0.0000 0.0000  4 N 1.93
Tc 0.5000 0.5000 0.5000  4 I 2.73
N 0.0000 0.5000 0.0000  2 Ru 1.93
N 0.5000 0.0000 0.0000  2 Ru 1.93

***

# 5
First-principles (PBE) data for TeRuI2N after structural relaxation, as listed in Alexandria via LeMat-Bulk.

## Properties
Its space-group type is P4/mmm, No. 123. The calculation puts the uncorrected formation energy at 1305 meV/atom. As for the density of states at the Fermi level: 3.39 states/eV/cell. For the energy relative to the lowest polymorph listed for this composition, the calculation gives 0.799 eV/atom. Its total energy is -17.318 eV per formula unit.

abc: 5.6760 5.6760 4.9699
angles: 90.00 90.00 90.00
Closest atoms and distances in Å follow each position.
Positions (direct):
I 0.0000 0.5000 0.0000  2 Ru 2.84
I 0.5000 0.0000 0.0000  2 Ru 2.84
Ru 0.0000 0.0000 0.0000  2 Te 2.48
Te 0.0000 0.0000 0.5000  2 Ru 2.48
N 0.5000 0.5000 0.5000  8 I 3.77, 4 Te 4.01

***

# 6
First-principles (PBE) data for Te2RuIN after structural relaxation, as listed in Alexandria via LeMat-Bulk.

## Properties
Its space-group type is P4/mmm, No. 123. The calculation puts the uncorrected formation energy at 1324 meV/atom. As for the density of states at the Fermi level: 4.18 states/eV/cell. For the energy relative to the lowest polymorph listed for this composition, the calculation gives 0.924 eV/atom. Its total energy is -18.812 eV per formula unit.

abc: 4.7502 4.7502 4.6581
angles: 90.00 90.00 90.00
Closest atoms and distances in Å follow each position.
Positions (direct):
I 0.0000 0.0000 0.5000  2 N 2.33
Ru 0.5000 0.5000 0.5000  8 Te 3.33, 4 I 3.36
Te 0.0000 0.5000 0.0000  2 N 2.38
Te 0.5000 0.0000 0.0000  2 N 2.38
N 0.0000 0.0000 0.0000  2 I 2.33, 4 Te 2.38

***

# 7
First-principles (PBE) data for TeRuI2N after structural relaxation, as listed in Alexandria via LeMat-Bulk.

## Properties
Its space-group type is P4/mmm, No. 123. The calculation puts the uncorrected formation energy at 1421 meV/atom. As for the density of states at the Fermi level: 2.60 states/eV/cell. For the energy relative to the lowest polymorph listed for this composition, the calculation gives 0.915 eV/atom. Its total energy is -16.738 eV per formula unit.

abc: 6.1554 6.1554 3.9612
angles: 90.00 90.00 90.00
Closest atoms and distances in Å follow each position.
Positions (direct):
I 0.0000 0.5000 0.0000  2 Te 3.08
I 0.5000 0.0000 0.0000  2 Te 3.08
Ru 0.5000 0.5000 0.5000  8 I 3.66, 2 Ru 3.96
Te 0.0000 0.0000 0.0000  2 N 1.98
N 0.0000 0.0000 0.5000  2 Te 1.98

***

# 8
First-principles (PBE) data for TeRuIN2 after structural relaxation, as listed in Alexandria via LeMat-Bulk.

## Properties
Its space-group type is P4/mmm, No. 123. The calculation puts the uncorrected formation energy at 2125 meV/atom. As for the density of states at the Fermi level: 5.27 states/eV/cell. For the energy relative to the lowest polymorph listed for this composition, the calculation gives 1.063 eV/atom. Its total energy is -19.992 eV per formula unit.

abc: 3.9259 3.9259 7.1415
angles: 90.00 90.00 90.00
Closest atoms and distances in Å follow each position.
Positions (direct):
I 0.0000 0.0000 0.0000  4 N 1.96
Ru 0.5000 0.5000 0.5000  4 Te 2.78
Te 0.0000 0.0000 0.5000  4 Ru 2.78
N 0.0000 0.5000 0.0000  2 I 1.96
N 0.5000 0.0000 0.0000  2 I 1.96

***

# 9
First-principles (PBE) data for Te2RuIN after structural relaxation, as listed in Alexandria via LeMat-Bulk.

## Properties
Its space-group type is P4/mmm, No. 123. The calculation puts the uncorrected formation energy at 401 meV/atom. As for the density of states at the Fermi level: 3.13 states/eV/cell. For the energy relative to the lowest polymorph listed for this composition, the calculation gives 0.000 eV/atom. Its total energy is -23.431 eV per formula unit.

abc: 5.6391 5.6391 3.6849
angles: 90.00 90.00 90.00
Closest atoms and distances in Å follow each position.
Positions (direct):
I 0.5000 0.5000 0.5000  8 Te 3.37, 2 I 3.68
Ru 0.0000 0.0000 0.0000  2 N 1.84
Te 0.0000 0.5000 0.0000  2 Ru 2.82
Te 0.5000 0.0000 0.0000  2 Ru 2.82
N 0.0000 0.0000 0.5000  2 Ru 1.84

***

# 10
First-principles (PBE) data for Te2RuIN after structural relaxation, as listed in Alexandria via LeMat-Bulk.

## Properties
Its space-group type is P4/mmm, No. 123. The calculation puts the uncorrected formation energy at 1823 meV/atom. As for the density of states at the Fermi level: 5.12 states/eV/cell. For the energy relative to the lowest polymorph listed for this composition, the calculation gives 1.422 eV/atom. Its total energy is -16.321 eV per formula unit.

abc: 5.8594 5.8594 3.8554
angles: 90.00 90.00 90.00
Closest atoms and distances in Å follow each position.
Positions (direct):
I 0.0000 0.0000 0.0000  2 N 1.93
Ru 0.5000 0.5000 0.5000  8 Te 3.51, 2 Ru 3.86
Te 0.0000 0.5000 0.0000  2 I 2.93
Te 0.5000 0.0000 0.0000  2 I 2.93
N 0.0000 0.0000 0.5000  2 I 1.93